A geometry-optimized RbNiAg2F8 structure. Source: the Alexandria database, functional GGA+U.

* final energy: -42.47 eV/f.u.
* DOS at the Fermi energy: 3.67 states/eV/f.u.
* volume: 16.0 Å³/atom

Structure (CIF):
```
data_RbNiAg2F8
_space_group_name_H-M_alt 'P 1'
_space_group_IT_number 1
_space_group_name_Hall 'P 1'
_cell_length_a 6.379
_cell_length_b 6.379
_cell_length_c 6.379
_cell_angle_alpha 116.69
_cell_angle_beta 116.69
_cell_angle_gamma 95.83
loop_
_atom_site_label
_atom_site_fract_x
_atom_site_fract_y
_atom_site_fract_z
Rb1 0.000 0.000 0.000
Ni1 0.250 0.750 0.500
Ag1 0.500 0.500 0.000
Ag2 0.750 0.250 0.500
F1 0.045 0.324 0.850
F2 0.262 0.638 0.742
F3 0.362 0.104 0.624
F4 0.474 0.194 0.150
F5 0.480 0.738 0.376
F6 0.676 0.526 0.720
F7 0.806 0.955 0.280
F8 0.896 0.520 0.258
```